## CsTlO2 (PBE-GGA)

Data for a relaxed CsTlO2 crystal.

CIF file:
```
data_CsTlO2
_symmetry_space_group_name_H-M 'P 1'
_symmetry_Int_Tables_number 1
_cell_length_a 3.607
_cell_length_b 3.607
_cell_length_c 13.486
_cell_angle_alpha 90.00
_cell_angle_beta 90.00
_cell_angle_gamma 120.00
loop_
_symmetry_equiv_pos_as_xyz
'x,y,z'
loop_
_atom_site_label
_atom_site_type_symbol
_atom_site_fract_x
_atom_site_fract_y
_atom_site_fract_z
Cs1 Cs 0.333 0.667 0.250
Cs2 Cs 0.667 0.333 0.750
Tl1 Tl 0.000 0.000 0.000
Tl2 Tl 0.000 0.000 0.500
O1 O 0.333 0.667 0.587
O2 O 0.333 0.667 0.913
O3 O 0.667 0.333 0.087
O4 O 0.667 0.333 0.413
```

Its magnetization is 0.00 μB per atom. As for the raw total energy: -0.1542 Ha/atom. Its uncorrected formation energy is -913 meV/atom. As for the space-group type: No. 194. Its mass density is 8.1 g cm⁻³. The value obtained for the density of states at the Fermi level is 0.0 states/eV/f.u.